Entry from the Alexandria database: Na2TlReO4 after structural relaxation (GGA-PBE).

```
Na2TlReO4
1.0
0.000 4.302 4.276
3.902 0.000 4.276
3.902 4.302 0.000
Na Tl Re O
2 1 1 4
direct
0.000 0.000 0.500 Na
0.500 0.500 0.000 Na
0.287 0.287 0.713 Tl
0.738 0.738 0.262 Re
0.023 0.667 0.333 O
0.411 0.724 0.589 O
0.667 0.023 0.977 O
0.724 0.411 0.276 O
```

- DOS(E_F): 2.7 states/eV/cell
- ρ: 5790 kg/m³
- E_form (uncorrected): -1.32 eV per atom

Entry from the Alexandria database: NaTl2ReO4 after structural relaxation (GGA-PBE).

```
NaTl2ReO4
1.0
6.295 0.000 0.000
0.000 6.295 0.000
0.000 0.000 7.659
Na Tl Re O
2 4 2 8
direct
0.000 0.000 0.000 Na
0.500 0.500 0.500 Na
0.000 0.000 0.500 Tl
0.000 0.500 0.750 Tl
0.500 0.000 0.250 Tl
0.500 0.500 0.000 Tl
0.000 0.500 0.250 Re
0.500 0.000 0.750 Re
0.143 0.738 0.177 O
0.238 0.357 0.323 O
0.262 0.143 0.823 O
0.357 0.762 0.677 O
0.643 0.238 0.677 O
0.738 0.857 0.823 O
0.762 0.643 0.323 O
0.857 0.262 0.177 O
```

- ρ: 7462 kg/m³
- E_form (uncorrected): -1.21 eV per atom

Entry from the Alexandria database: Na2TlReO6 after structural relaxation (GGA-PBE).

```
Na2TlReO6
1.0
2.836 1.637 4.714
-2.836 1.637 4.714
0.000 -3.275 4.714
Na Tl Re O
2 1 1 6
direct
0.000 0.000 0.000 Na
0.497 0.497 0.497 Na
0.764 0.764 0.764 Tl
0.271 0.271 0.271 Re
0.067 0.601 0.400 O
0.142 0.505 0.957 O
0.400 0.067 0.601 O
0.505 0.957 0.142 O
0.601 0.400 0.067 O
0.957 0.142 0.505 O
```

- ρ: 6733 kg/m³
- E_form (uncorrected): -1.39 eV per atom

Entry from the Alexandria database: NaTlReO4 after structural relaxation (GGA-PBE).

```
NaTlReO4
1.0
6.340 0.000 0.000
0.000 6.312 0.000
-1.879 0.000 7.078
Na Tl Re O
2 2 2 8
direct
0.185 0.250 0.048 Na
0.815 0.750 0.952 Na
0.279 0.250 0.575 Tl
0.721 0.750 0.425 Tl
0.284 0.750 0.850 Re
0.716 0.250 0.150 Re
0.099 0.527 0.818 O
0.099 0.973 0.818 O
0.454 0.750 0.687 O
0.469 0.750 0.082 O
0.531 0.250 0.918 O
0.546 0.250 0.313 O
0.901 0.027 0.182 O
0.901 0.473 0.182 O
```

- DOS(E_F): 9.0 states/eV/cell
- ρ: 5600 kg/m³
- E_form (uncorrected): -1.40 eV per atom

Entry from the Alexandria database: Na3Tm3ReO8 after structural relaxation (GGA-PBE).

```
Na3Tm3ReO8
1.0
3.308 1.910 5.561
-3.308 1.910 5.561
0.000 -3.819 5.561
Na Tm Re O
3 3 1 8
direct
0.000 0.500 0.500 Na
0.500 0.000 0.500 Na
0.500 0.500 0.000 Na
0.000 0.000 0.500 Tm
0.000 0.500 0.000 Tm
0.500 0.000 0.000 Tm
0.500 0.500 0.500 Re
0.236 0.236 0.236 O
0.255 0.721 0.721 O
0.279 0.279 0.745 O
0.279 0.745 0.279 O
0.721 0.255 0.721 O
0.721 0.721 0.255 O
0.745 0.279 0.279 O
0.764 0.764 0.764 O
```

- ρ: 7013 kg/m³
- E_form (uncorrected): -2.53 eV per atom

Entry from the Alexandria database: NaTm2ReO8 after structural relaxation (GGA-PBE).

```
NaTm2ReO8
1.0
4.411 0.000 0.000
0.078 5.172 0.000
0.018 0.001 6.886
Na Tm Re O
1 2 1 8
direct
0.000 0.000 0.000 Na
0.499 0.500 0.261 Tm
0.501 0.500 0.739 Tm
0.000 0.000 0.500 Re
0.160 0.550 0.000 O
0.232 0.148 0.697 O
0.234 0.146 0.302 O
0.256 0.687 0.501 O
0.744 0.313 0.499 O
0.766 0.854 0.698 O
0.768 0.852 0.303 O
0.840 0.450 0.000 O
```

- DOS(E_F): 0.0 states/eV/cell
- ρ: 7136 kg/m³
- E_form (uncorrected): -2.21 eV per atom

Entry from the Alexandria database: Na2UReO8 after structural relaxation (GGA-PBE).

```
Na2UReO8
1.0
3.571 -3.742 0.000
3.571 3.742 0.000
0.000 0.000 6.549
Na U Re O
2 1 1 8
direct
0.000 0.000 0.237 Na
0.000 0.000 0.763 Na
0.500 0.500 0.500 U
0.500 0.500 0.000 Re
0.239 0.239 0.500 O
0.244 0.244 0.000 O
0.329 0.671 0.222 O
0.329 0.671 0.778 O
0.671 0.329 0.222 O
0.671 0.329 0.778 O
0.756 0.756 0.000 O
0.761 0.761 0.500 O
```

- DOS(E_F): 4.8 states/eV/cell
- ρ: 5674 kg/m³
- E_form (uncorrected): -2.00 eV per atom

Entry from the Alexandria database: NaUReO6 after structural relaxation (GGA-PBE).

```
NaUReO6
1.0
-3.676 3.902 5.381
3.676 -3.902 5.381
3.676 3.902 -5.381
Na U Re O
2 2 2 12
direct
0.443 0.193 0.250 Na
0.557 0.807 0.750 Na
0.000 0.500 0.500 U
0.500 0.500 0.000 U
0.000 0.000 0.500 Re
0.000 0.500 0.000 Re
0.041 0.791 0.250 O
0.055 0.424 0.227 O
0.055 0.828 0.631 O
0.303 0.172 0.727 O
0.303 0.576 0.131 O
0.337 0.587 0.750 O
0.663 0.413 0.250 O
0.697 0.424 0.869 O
0.697 0.828 0.273 O
0.945 0.172 0.369 O
0.945 0.576 0.773 O
0.959 0.209 0.750 O
```

- DOS(E_F): 7.2 states/eV/cell
- ρ: 5842 kg/m³
- E_form (uncorrected): -2.20 eV per atom

Q: The lowest ρ belongs to which entry?
A: NaTlReO4

Q: What is the formula in the fifth record?
A: Na3Tm3ReO8

Q: Among the records above, which one has the lowest E_form (uncorrected)?
A: Na3Tm3ReO8

Q: Which of these has the lowest ρ?
A: NaTlReO4